Crystalline MgP2Pd at its relaxed geometry, computed with GGA-PBE.

Properties
**SG**: I-42d
**Density of states at the Fermi level**: 2.84 states/eV/f.u.
**Uncorrected energy**: -0.3281 Ry per atom
**Magnetization**: 0.0 μB/f.u.
**Formation energy from the elements**: -0.062 eV/atom
**Mass density**: 3.6 g cm⁻³

Lattice parameters (Å, degrees): 5.6514 5.6514 6.8377 65.59 65.59 90.00
Element x y z (fractional)
Pd 0.7500 0.2500 0.5000
P 0.8750 0.9169 0.7500
P 0.6669 0.1250 0.2500
Mg 0.5000 0.5000 0.0000
Pd 0.0000 0.0000 0.0000
Mg 0.2500 0.7500 0.5000
P 0.0831 0.6250 0.2500
P 0.3750 0.3331 0.7500